Entry 1:
Density functional theory data (GGA-PBE) for crystalline Tm2TiTe4 at its relaxed geometry.

total moment	1.64	μB per cell
density	7.1	g cm⁻³
uncorrected formation energy	-1.107	eV/atom
E	-5.31	eV/atom

a b c (Å): 4.195 7.465 7.987
angles (deg): 118.20 105.23 90.00
Each line ends with the local moment (μB).
Atoms (fractional coordinates):
Tm (0.256, 0.240, 0.512)  0.07
Tm (0.744, 0.760, 0.488)  0.07
Te (0.890, 0.215, 0.779)  -0.02
Te (0.379, 0.716, 0.758)  -0.02
Te (0.621, 0.284, 0.242)  -0.02
Te (0.110, 0.785, 0.221)  -0.02
Ti (0.000, 0.000, 0.000)  1.21

=====

Entry 2:
Density functional theory data (GGA-PBE) for crystalline SiHgBr at its relaxed geometry.

total moment	0.00	μB per cell
density	6.9	g cm⁻³
uncorrected formation energy	0.351	eV/atom
relative energy among the computed polymorphs	0.3535	eV per atom
E	-2.12	eV/atom

a b c (Å): 6.531 6.531 6.531
angles (deg): 148.89 148.89 44.58
Atoms (fractional coordinates):
Br (0.030, 0.030, 0.000)
Hg (0.301, 0.301, 0.000)
Si (0.669, 0.669, 0.000)

=====

Entry 3:
Density functional theory data (GGA-PBE) for crystalline MgBrO2 at its relaxed geometry.

total moment	0.78	μB per cell
density	3.1	g cm⁻³
uncorrected formation energy	-0.557	eV/atom
relative energy among the computed polymorphs	0.6573	eV per atom
E	-3.85	eV/atom

a b c (Å): 6.910 6.910 6.910
angles (deg): 30.02 30.02 30.02
Each line ends with the local moment (μB).
Atoms (fractional coordinates):
O (0.117, 0.117, 0.117)  0.26
O (0.661, 0.661, 0.661)  0.12
Mg (0.002, 0.002, 0.002)  0.00
Br (0.472, 0.472, 0.472)  0.26

=====

Entry 4:
Density functional theory data (GGA-PBE) for crystalline Ni2TeW at its relaxed geometry.

total moment	0.00	μB per cell
density	12.0	g cm⁻³
uncorrected formation energy	0.542	eV/atom
E	-6.37	eV/atom

a b c (Å): 4.737 4.737 4.737
angles (deg): 130.83 130.83 72.08
Atoms (fractional coordinates):
W (0.750, 0.250, 0.500)
Ni (0.500, 0.500, 0.000)
Ni (0.000, 0.000, 0.000)
Te (0.250, 0.750, 0.500)

=====

Entry 5:
Density functional theory data (GGA-PBE) for crystalline CsTe2PdI at its relaxed geometry.

total moment	3.39	μB per cell
density	3.6	g cm⁻³
uncorrected formation energy	1.086	eV/atom
relative energy among the computed polymorphs	1.4606	eV per atom
E	-1.69	eV/atom

a b c (Å): 6.460 6.460 6.938
angles (deg): 90.00 90.00 90.00
Each line ends with the local moment (μB).
Atoms (fractional coordinates):
I (0.000, 0.000, 0.500)  0.19
Te (0.000, 0.500, 0.000)  0.66
Te (0.500, 0.000, 0.000)  0.66
Pd (0.500, 0.500, 0.500)  0.49
Cs (0.000, 0.000, 0.000)  0.07

=====

Entry 6:
Density functional theory data (GGA-PBE) for crystalline HPd2S at its relaxed geometry.

total moment	0.00	μB per cell
density	8.1	g cm⁻³
relative energy among the computed polymorphs	0.4261	eV per atom
E	-4.10	eV/atom

a b c (Å): 4.145 4.145 4.145
angles (deg): 60.00 60.00 60.00
Atoms (fractional coordinates):
Pd (0.250, 0.250, 0.250)
Pd (0.750, 0.750, 0.750)
H (0.000, 0.000, 0.000)
S (0.500, 0.500, 0.500)